(1)
Below is a geometry-optimized Ce2Al2Ge structure, with properties calculated at the PBE-GGA level.

ΔH_f (0 K): -214 kJ/mol of formula units
magnetic moment: 1.4 μB/f.u.
ΔE to the lowest computed polymorph: 0 meV/atom
total DFT energy (no corrections): -5.238 eV/atom

The structure in CIF format:
```
data_Ce2Al2Ge
_chemical_formula_sum 'Ce4 Al4 Ge2'
_space_group_name_H-M_alt 'P 1'
_space_group_IT_number 1
_cell_length_a 4.3608
_cell_length_b 5.9449
_cell_length_c 9.7670
_cell_angle_alpha 71.48
_cell_angle_beta 77.10
_cell_angle_gamma 68.48
loop_
_space_group_symop_operation_xyz
'x,y,z'
loop_
_atom_site_label
_atom_site_fract_x
_atom_site_fract_y
_atom_site_fract_z
Al1 0.4892 0.8782 0.1433
Al2 0.5108 0.1218 0.8567
Al3 0.5977 0.4347 0.3698
Al4 0.4023 0.5653 0.6302
Ge1 0.7679 0.7432 0.7210
Ge2 0.2321 0.2568 0.2790
Ce1 0.1133 0.1570 0.6163
Ce2 0.1736 0.6843 0.9684
Ce3 0.8867 0.8430 0.3837
Ce4 0.8264 0.3157 0.0316
```

***

(2)
Below is a geometry-optimized GeS2Br2Cl2 structure, with properties calculated at the PBE-GGA level.

magnetic moment: 0.0 μB/f.u.
total DFT energy (no corrections): -3.058 eV/atom
formation energy without anion corrections: -214 meV per atom

The structure in CIF format:
```
data_GeS2Br2Cl2
_chemical_formula_sum 'Ge1 S2 Br2 Cl2'
_space_group_name_H-M_alt 'P 1'
_space_group_IT_number 1
_cell_length_a 3.9250
_cell_length_b 7.2737
_cell_length_c 7.5007
_cell_angle_alpha 83.19
_cell_angle_beta 74.83
_cell_angle_gamma 74.35
loop_
_space_group_symop_operation_xyz
'x,y,z'
loop_
_atom_site_label
_atom_site_fract_x
_atom_site_fract_y
_atom_site_fract_z
Ge1 0.0000 0.0000 0.0000
Br1 0.5349 0.7697 0.1606
Br2 0.4651 0.2303 0.8394
S1 0.0604 0.3679 0.5113
S2 0.9396 0.6321 0.4887
Cl1 0.2386 0.7999 0.7230
Cl2 0.7614 0.2001 0.2770
```

***

(3)
Below is a geometry-optimized NdUGe2Rh5 structure, with properties calculated at the PBE-GGA level.

ΔH_f (0 K): -470 kJ/mol of formula units
magnetic moment: 1.6 μB/f.u.
total DFT energy (no corrections): -7.435 eV/atom

The structure in CIF format:
```
data_NdUGe2Rh5
_chemical_formula_sum 'Nd1 U1 Ge2 Rh5'
_space_group_name_H-M_alt 'P 1'
_space_group_IT_number 1
_cell_length_a 4.2239
_cell_length_b 4.2239
_cell_length_c 8.9501
_cell_angle_alpha 90.00
_cell_angle_beta 90.00
_cell_angle_gamma 90.00
loop_
_space_group_symop_operation_xyz
'x,y,z'
loop_
_atom_site_label
_atom_site_fract_x
_atom_site_fract_y
_atom_site_fract_z
Rh1 0.0000 0.5000 0.2624
Rh2 0.5000 0.5000 0.5000
Rh3 0.5000 0.0000 0.7376
Rh4 0.0000 0.5000 0.7376
Rh5 0.5000 0.0000 0.2624
Ge1 0.5000 0.5000 0.1382
Ge2 0.5000 0.5000 0.8618
Nd1 0.0000 0.0000 0.5000
U1 0.0000 0.0000 0.0000
```

***

(4)
Below is a geometry-optimized Zn3Cu4Au structure, with properties calculated at the PBE-GGA level.

ΔH_f (0 K): -72 kJ/mol of formula units
magnetic moment: 0.0 μB/f.u.
ΔE to the lowest computed polymorph: 0 meV/atom
total DFT energy (no corrections): -3.029 eV/atom

The structure in CIF format:
```
data_Zn3Cu4Au
_chemical_formula_sum 'Zn6 Cu8 Au2'
_space_group_name_H-M_alt 'P 1'
_space_group_IT_number 1
_cell_length_a 4.6104
_cell_length_b 5.3942
_cell_length_c 8.7543
_cell_angle_alpha 90.00
_cell_angle_beta 90.00
_cell_angle_gamma 90.00
loop_
_space_group_symop_operation_xyz
'x,y,z'
loop_
_atom_site_label
_atom_site_fract_x
_atom_site_fract_y
_atom_site_fract_z
Cu1 0.5000 0.2414 0.0000
Cu2 0.5000 0.7586 0.5000
Cu3 0.1662 0.2413 0.7500
Cu4 0.1662 0.7587 0.7500
Cu5 0.5000 0.2414 0.5000
Cu6 0.8338 0.7587 0.2500
Cu7 0.8338 0.2413 0.2500
Cu8 0.5000 0.7586 0.0000
Au1 0.0000 0.5000 0.0000
Au2 0.0000 0.5000 0.5000
Zn1 0.0000 0.0000 0.0000
Zn2 0.0000 0.0000 0.5000
Zn3 0.3462 0.0000 0.2500
Zn4 0.3584 0.5000 0.2500
Zn5 0.6416 0.5000 0.7500
Zn6 0.6538 0.0000 0.7500
```

***

(5)
Below is a geometry-optimized Ti3Mo2Pd structure, with properties calculated at the PBE-GGA level.

ΔH_f (0 K): -176 kJ/mol of formula units
magnetic moment: 0.0 μB/f.u.
total DFT energy (no corrections): -8.727 eV/atom

The structure in CIF format:
```
data_Ti3Mo2Pd
_chemical_formula_sum 'Ti3 Mo2 Pd1'
_space_group_name_H-M_alt 'P 1'
_space_group_IT_number 1
_cell_length_a 3.1819
_cell_length_b 3.1819
_cell_length_c 9.4034
_cell_angle_alpha 90.00
_cell_angle_beta 90.00
_cell_angle_gamma 90.00
loop_
_space_group_symop_operation_xyz
'x,y,z'
loop_
_atom_site_label
_atom_site_fract_x
_atom_site_fract_y
_atom_site_fract_z
Mo1 0.5000 0.5000 0.1684
Mo2 0.5000 0.5000 0.8316
Pd1 0.5000 0.5000 0.5000
Ti1 0.0000 0.0000 0.6737
Ti2 0.0000 0.0000 0.0000
Ti3 0.0000 0.0000 0.3263
```

***

(6)
Below is a geometry-optimized GaCu2Pd structure, with properties calculated at the PBE-GGA level.

ΔH_f (0 K): -114 kJ/mol of formula units
magnetic moment: 0.0 μB/f.u.
total DFT energy (no corrections): -4.397 eV/atom

The structure in CIF format:
```
data_GaCu2Pd
_chemical_formula_sum 'Ga1 Cu2 Pd1'
_space_group_name_H-M_alt 'P 1'
_space_group_IT_number 1
_cell_length_a 3.8764
_cell_length_b 3.7330
_cell_length_c 3.7330
_cell_angle_alpha 90.00
_cell_angle_beta 90.00
_cell_angle_gamma 90.00
loop_
_space_group_symop_operation_xyz
'x,y,z'
loop_
_atom_site_label
_atom_site_fract_x
_atom_site_fract_y
_atom_site_fract_z
Pd1 0.5000 0.5000 0.5000
Cu1 0.0000 0.0000 0.5000
Cu2 0.0000 0.5000 0.0000
Ga1 0.5000 0.0000 0.0000
```

***

(7)
Below is a geometry-optimized ReHg2Sb structure, with properties calculated at the PBE-GGA level.

magnetic moment: 0.0 μB/f.u.
total DFT energy (no corrections): -3.500 eV/atom
formation energy without anion corrections: 793 meV per atom

The structure in CIF format:
```
data_ReHg2Sb
_chemical_formula_sum 'Re1 Hg2 Sb1'
_space_group_name_H-M_alt 'P 1'
_space_group_IT_number 1
_cell_length_a 5.7032
_cell_length_b 3.1436
_cell_length_c 4.7402
_cell_angle_alpha 94.17
_cell_angle_beta 90.00
_cell_angle_gamma 90.00
loop_
_space_group_symop_operation_xyz
'x,y,z'
loop_
_atom_site_label
_atom_site_fract_x
_atom_site_fract_y
_atom_site_fract_z
Hg1 0.0000 0.0074 0.0018
Hg2 0.0000 0.4926 0.4982
Sb1 0.5000 0.7500 0.7500
Re1 0.5000 0.2500 0.2500
```

***

(8)
Below is a geometry-optimized Ba2PmPt4Pb3 structure, with properties calculated at the PBE-GGA level.

ΔH_f (0 K): -606 kJ/mol of formula units
magnetic moment: 0.0 μB/f.u.
total DFT energy (no corrections): -5.017 eV/atom

The structure in CIF format:
```
data_Ba2PmPt4Pb3
_chemical_formula_sum 'Ba2 Pm1 Pt4 Pb3'
_space_group_name_H-M_alt 'P 1'
_space_group_IT_number 1
_cell_length_a 4.8989
_cell_length_b 4.8989
_cell_length_c 11.4142
_cell_angle_alpha 90.00
_cell_angle_beta 90.00
_cell_angle_gamma 90.00
loop_
_space_group_symop_operation_xyz
'x,y,z'
loop_
_atom_site_label
_atom_site_fract_x
_atom_site_fract_y
_atom_site_fract_z
Pt1 0.0000 0.0000 0.0000
Pt2 0.5000 0.5000 0.0000
Pt3 0.5000 0.0000 0.6386
Pt4 0.0000 0.5000 0.3614
Pm1 0.5000 0.5000 0.5000
Pb1 0.0000 0.0000 0.5000
Pb2 0.5000 0.0000 0.8824
Pb3 0.0000 0.5000 0.1176
Ba1 0.5000 0.0000 0.2268
Ba2 0.0000 0.5000 0.7732
```

***

(9)
Below is a geometry-optimized KTlRe structure, with properties calculated at the PBE-GGA level.

ΔH_f (0 K): 615 kJ/mol of formula units
magnetic moment: 3.4 μB/f.u.
ΔE to the lowest computed polymorph: 1054 meV/atom
total DFT energy (no corrections): -3.179 eV/atom

The structure in CIF format:
```
data_KTlRe
_chemical_formula_sum 'K1 Tl1 Re1'
_space_group_name_H-M_alt 'P 1'
_space_group_IT_number 1
_cell_length_a 5.2483
_cell_length_b 5.2483
_cell_length_c 5.2483
_cell_angle_alpha 60.00
_cell_angle_beta 60.00
_cell_angle_gamma 60.00
loop_
_space_group_symop_operation_xyz
'x,y,z'
loop_
_atom_site_label
_atom_site_fract_x
_atom_site_fract_y
_atom_site_fract_z
Tl1 0.5000 0.5000 0.5000
K1 0.7500 0.7500 0.7500
Re1 0.0000 0.0000 0.0000
```

***

(10)
Below is a geometry-optimized LiNiSe2 structure, with properties calculated at the PBE-GGA level.

magnetic moment: 1.0 μB/f.u.
total DFT energy (no corrections): -3.850 eV/atom
formation energy without anion corrections: -184 meV per atom

The structure in CIF format:
```
data_LiNiSe2
_chemical_formula_sum 'Li1 Ni1 Se2'
_space_group_name_H-M_alt 'P 1'
_space_group_IT_number 1
_cell_length_a 4.4863
_cell_length_b 4.4863
_cell_length_c 4.4863
_cell_angle_alpha 60.00
_cell_angle_beta 60.00
_cell_angle_gamma 60.00
loop_
_space_group_symop_operation_xyz
'x,y,z'
loop_
_atom_site_label
_atom_site_fract_x
_atom_site_fract_y
_atom_site_fract_z
Li1 0.0000 0.0000 0.0000
Se1 0.2500 0.2500 0.2500
Se2 0.7500 0.7500 0.7500
Ni1 0.5000 0.5000 0.5000
```